1.
DFT (PBE) results for an optimized crystal structure of Ac2Tl2Rh3.

Calculated values
Raw total energy   -5.3513 eV per atom

Lattice parameters (Å, degrees): 8.698 8.698 12.743 125.67 125.67 27.26
Atoms (fractional coordinates):
1 Ac 0.111 0.111 0.349
2 Ac 0.126 0.126 0.028
3 Ac 0.874 0.874 0.972
4 Ac 0.889 0.889 0.651
5 Tl 0.226 0.226 0.683
6 Tl 0.408 0.408 0.273
7 Tl 0.592 0.592 0.727
8 Tl 0.774 0.774 0.317
9 Rh 0.219 0.219 0.903
10 Rh 0.398 0.398 0.494
11 Rh 0.438 0.438 0.861
12 Rh 0.562 0.562 0.139
13 Rh 0.602 0.602 0.506
14 Rh 0.781 0.781 0.097

=====

2.
DFT (PBE) results for an optimized crystal structure of Ac6Tl3Rh.

Calculated values
Raw total energy   -4.2228 eV per atom

Lattice parameters (Å, degrees): 7.308 9.372 12.937 90.00 119.41 90.00
Atoms (fractional coordinates):
1 Ac 0.078 0.062 0.235
2 Ac 0.078 0.438 0.735
3 Ac 0.193 0.704 0.071
4 Ac 0.193 0.796 0.571
5 Ac 0.399 0.155 0.057
6 Ac 0.399 0.345 0.557
7 Ac 0.601 0.655 0.443
8 Ac 0.601 0.845 0.943
9 Ac 0.807 0.204 0.429
10 Ac 0.807 0.296 0.929
11 Ac 0.922 0.562 0.265
12 Ac 0.922 0.938 0.765
13 Tl 0.317 0.110 0.735
14 Tl 0.317 0.390 0.235
15 Tl 0.500 0.000 0.500
16 Tl 0.500 0.500 0.000
17 Tl 0.683 0.610 0.765
18 Tl 0.683 0.890 0.265
19 Rh 0.000 0.000 0.000
20 Rh 0.000 0.500 0.500

=====

3.
DFT (PBE) results for an optimized crystal structure of Ac5TlRh.

Calculated values
Raw total energy   -4.5530 eV per atom

Lattice parameters (Å, degrees): 7.355 7.355 12.277 107.94 107.94 62.41
Atoms (fractional coordinates):
1 Ac 0.027 0.973 0.750
2 Ac 0.036 0.391 0.636
3 Ac 0.213 0.553 0.961
4 Ac 0.391 0.036 0.136
5 Ac 0.447 0.787 0.539
6 Ac 0.553 0.213 0.461
7 Ac 0.609 0.964 0.864
8 Ac 0.787 0.447 0.039
9 Ac 0.964 0.609 0.364
10 Ac 0.973 0.027 0.250
11 Tl 0.490 0.510 0.250
12 Tl 0.510 0.490 0.750
13 Rh 0.000 0.000 0.000
14 Rh 0.000 0.000 0.500

=====

4.
DFT (PBE) results for an optimized crystal structure of Ac12Tl5Rh2.

Calculated values
Raw total energy   -4.2328 eV per atom

Lattice parameters (Å, degrees): 10.210 10.210 10.497 104.88 104.88 49.87
Atoms (fractional coordinates):
1 Ac 0.001 0.001 0.291
2 Ac 0.076 0.595 0.403
3 Ac 0.102 0.601 0.927
4 Ac 0.399 0.898 0.073
5 Ac 0.405 0.924 0.597
6 Ac 0.484 0.484 0.679
7 Ac 0.516 0.516 0.321
8 Ac 0.595 0.076 0.403
9 Ac 0.601 0.102 0.927
10 Ac 0.898 0.399 0.073
11 Ac 0.924 0.405 0.597
12 Ac 0.999 0.999 0.709
13 Tl 0.190 0.190 0.342
14 Tl 0.200 0.200 0.868
15 Tl 0.500 0.500 0.000
16 Tl 0.800 0.800 0.132
17 Tl 0.810 0.810 0.658
18 Rh 0.243 0.757 0.500
19 Rh 0.757 0.243 0.500

=====

5.
DFT (PBE) results for an optimized crystal structure of Ac3TlRh8.

Calculated values
Raw total energy   -6.5400 eV per atom

Lattice parameters (Å, degrees): 9.612 9.612 9.612 33.24 33.24 33.24
Atoms (fractional coordinates):
1 Ac 0.000 0.000 0.000
2 Ac 0.128 0.128 0.128
3 Ac 0.619 0.619 0.619
4 Tl 0.497 0.497 0.497
5 Rh 0.061 0.061 0.561
6 Rh 0.061 0.561 0.061
7 Rh 0.064 0.562 0.562
8 Rh 0.312 0.312 0.312
9 Rh 0.561 0.061 0.061
10 Rh 0.562 0.064 0.562
11 Rh 0.562 0.562 0.064
12 Rh 0.812 0.812 0.812

=====

6.
DFT (PBE) results for an optimized crystal structure of Ac5Tl2Rh.

Calculated values
Raw total energy   -4.3241 eV per atom

Lattice parameters (Å, degrees): 6.656 6.656 16.572 90.00 90.00 124.11
Atoms (fractional coordinates):
1 Ac 0.087 0.913 0.616
2 Ac 0.087 0.913 0.884
3 Ac 0.251 0.749 0.250
4 Ac 0.412 0.588 0.617
5 Ac 0.412 0.588 0.883
6 Ac 0.588 0.412 0.117
7 Ac 0.588 0.412 0.383
8 Ac 0.749 0.251 0.750
9 Ac 0.913 0.087 0.116
10 Ac 0.913 0.087 0.384
11 Tl 0.250 0.750 0.051
12 Tl 0.250 0.750 0.449
13 Tl 0.750 0.250 0.551
14 Tl 0.750 0.250 0.949
15 Rh 0.249 0.751 0.750
16 Rh 0.751 0.249 0.250

=====

7.
DFT (PBE) results for an optimized crystal structure of AcTlRh.

Calculated values
Raw total energy   -5.1463 eV per atom

Lattice parameters (Å, degrees): 9.438 9.438 4.301 90.00 90.00 154.86
Atoms (fractional coordinates):
1 Ac 0.089 0.911 0.750
2 Ac 0.911 0.089 0.250
3 Tl 0.291 0.709 0.750
4 Tl 0.709 0.291 0.250
5 Rh 0.444 0.556 0.750
6 Rh 0.556 0.444 0.250

=====

8.
DFT (PBE) results for an optimized crystal structure of AcTl2Rh2.

Calculated values
Raw total energy   -4.9731 eV per atom

Lattice parameters (Å, degrees): 5.576 6.632 7.919 81.56 69.54 65.20
Atoms (fractional coordinates):
1 Ac 0.125 0.250 0.250
2 Ac 0.875 0.750 0.750
3 Tl 0.182 0.135 0.750
4 Tl 0.432 0.635 0.250
5 Tl 0.568 0.365 0.750
6 Tl 0.818 0.865 0.250
7 Rh 0.276 0.750 0.947
8 Rh 0.474 0.750 0.552
9 Rh 0.526 0.250 0.448
10 Rh 0.724 0.250 0.053

=====

9.
DFT (PBE) results for an optimized crystal structure of Ac2Tl3Rh2.

Calculated values
Raw total energy   -4.6708 eV per atom

Lattice parameters (Å, degrees): 5.992 5.992 8.139 97.53 97.53 41.26
Atoms (fractional coordinates):
1 Ac 0.121 0.121 0.357
2 Ac 0.879 0.879 0.643
3 Tl 0.189 0.189 0.851
4 Tl 0.500 0.500 0.000
5 Tl 0.811 0.811 0.149
6 Rh 0.404 0.404 0.373
7 Rh 0.596 0.596 0.627

=====

10.
DFT (PBE) results for an optimized crystal structure of AcYTlRh.

Calculated values
Raw total energy   -5.4208 eV per atom

Lattice parameters (Å, degrees): 5.362 5.362 5.362 60.00 60.00 60.00
Atoms (fractional coordinates):
1 Ac 0.000 0.000 0.000
2 Y 0.500 0.500 0.500
3 Tl 0.750 0.750 0.750
4 Rh 0.250 0.250 0.250

=====

11.
DFT (PBE) results for an optimized crystal structure of AcTlZnRh.

Calculated values
Raw total energy   -3.9591 eV per atom

Lattice parameters (Å, degrees): 5.104 5.104 5.104 60.00 60.00 60.00
Atoms (fractional coordinates):
1 Ac 0.000 0.000 0.000
2 Tl 0.500 0.500 0.500
3 Zn 0.250 0.250 0.250
4 Rh 0.750 0.750 0.750

=====

12.
DFT (PBE) results for an optimized crystal structure of Ac2TlZnRh.

Calculated values
Raw total energy   -4.3109 eV per atom

Lattice parameters (Å, degrees): 7.634 4.678 8.409 90.00 108.55 90.00
Atoms (fractional coordinates):
1 Ac 0.141 0.250 0.341
2 Ac 0.277 0.250 0.949
3 Ac 0.723 0.750 0.051
4 Ac 0.859 0.750 0.659
5 Tl 0.333 0.750 0.653
6 Tl 0.667 0.250 0.347
7 Zn 0.441 0.750 0.313
8 Zn 0.559 0.250 0.687
9 Rh 0.121 0.750 0.088
10 Rh 0.879 0.250 0.912

=====

Q: The highest raw total energy belongs to which entry?
A: AcTlZnRh

=====

Q: What is the raw total energy in the seventh record?
A: -5.1463 eV per atom

=====

Q: What is the raw total energy in the ninth record?
A: -4.6708 eV per atom